1.
## MgZnS2 (PBE)

Data for MgZnS2 after structural relaxation.

Cell and atoms, written as POSCAR:
```
MgZnS2
1.0
15.168 0.000 -0.632
2.543 5.894 -3.605
-2.543 5.894 3.605
S Mg Zn
16 8 8
Direct
0.770 0.636 0.773
0.250 0.284 0.784
0.983 0.786 0.185
0.270 0.727 0.864
0.528 0.156 0.323
0.017 0.214 0.815
0.250 0.813 0.313
0.028 0.177 0.344
0.517 0.685 0.286
0.483 0.315 0.714
0.730 0.273 0.136
0.972 0.823 0.656
0.750 0.716 0.216
0.472 0.844 0.677
0.230 0.364 0.227
0.750 0.187 0.687
0.875 0.282 0.440
0.892 0.213 0.978
0.625 0.940 0.782
0.125 0.718 0.560
0.108 0.787 0.022
0.392 0.522 0.287
0.375 0.060 0.218
0.608 0.478 0.713
0.126 0.198 0.162
0.349 0.198 0.618
0.849 0.882 0.302
0.626 0.338 0.302
0.151 0.118 0.698
0.874 0.802 0.838
0.651 0.802 0.382
0.374 0.662 0.698
```

The calculation puts the density of states at the Fermi level at 0.000 states/eV/atom. As for the space group: No. 15. As for the uncorrected formation energy: -982 meV per atom.



2.
## LiMg2P (PBE)

Data for LiMg2P after structural relaxation.

Cell and atoms, written as POSCAR:
```
LiMg2P
1.0
7.171 -0.693 -0.409
6.454 3.200 -0.409
6.454 1.188 3.000
Li Mg P
1 2 1
Direct
0.750 0.750 0.750
0.525 0.525 0.525
0.975 0.975 0.975
0.250 0.250 0.250
```

The value obtained for the calculated formation energy is -177 meV/atom. The calculation puts the density of states at the Fermi level at 0.291 states/eV/atom. As for the space group: No. 166.



3.
## Zr2Al3Au4 (PBE)

Data for Zr2Al3Au4 after structural relaxation.

Cell and atoms, written as POSCAR:
```
Zr2Al3Au4
1.0
-0.634 -5.570 1.202
2.044 -1.760 -7.078
7.532 2.432 1.570
Au Zr Al
8 4 6
Direct
0.823 0.022 0.646
0.177 0.978 0.354
0.312 0.250 0.123
0.812 0.250 0.123
0.323 0.478 0.646
0.688 0.750 0.877
0.677 0.522 0.354
0.188 0.750 0.877
0.102 0.603 0.204
0.398 0.103 0.796
0.898 0.397 0.796
0.602 0.897 0.204
0.487 0.250 0.474
0.987 0.250 0.474
0.513 0.750 0.526
0.500 0.500 0.000
0.000 0.000 0.000
0.013 0.750 0.526
```

The value obtained for the calculated formation energy is -515 meV/atom. The calculation puts the density of states at the Fermi level at 0.742 states/eV/atom. As for the space group: No. 64.



4.
## Ba2SnB (PBE)

Data for Ba2SnB after structural relaxation.

Cell and atoms, written as POSCAR:
```
Ba2SnB
1.0
11.969 0.000 0.000
0.000 11.969 0.000
5.985 5.985 2.278
Sn Ba B
2 4 2
Direct
0.000 0.000 0.000
0.750 0.250 0.500
0.875 0.684 0.750
0.316 0.625 0.250
0.434 0.125 0.250
0.375 0.566 0.750
0.250 0.750 0.500
0.500 0.500 0.000
```

The value obtained for the calculated formation energy is 226 meV/atom. The calculation puts the density of states at the Fermi level at 0.961 states/eV/atom. The value obtained for the energy above the lowest structure with this stoichiometry is 0.00 eV per formula unit. As for the space group: No. 122.



5.
## TlPI2 (PBE)

Data for TlPI2 after structural relaxation.

Cell and atoms, written as POSCAR:
```
TlPI2
1.0
6.560 0.000 0.000
0.000 6.560 0.000
3.280 3.280 8.401
I P Tl
4 2 2
Direct
0.875 0.769 0.750
0.519 0.125 0.250
0.231 0.625 0.250
0.375 0.481 0.750
0.500 0.500 0.000
0.250 0.750 0.500
0.750 0.250 0.500
0.000 0.000 0.000
```

The calculation puts the density of states at the Fermi level at 0.033 states/eV/atom. The value obtained for the energy above the lowest structure with this stoichiometry is 0.00 eV per formula unit. As for the space group: No. 122. As for the uncorrected formation energy: 208 meV per atom.



6.
## Ca6Bi2AsP (PBE)

Data for Ca6Bi2AsP after structural relaxation.

Cell and atoms, written as POSCAR:
```
Ca6Bi2AsP
1.0
7.584 0.000 -0.023
0.000 7.913 0.000
0.033 0.000 10.788
Ca Bi P As
12 4 2 2
Direct
0.104 0.459 0.753
0.604 0.041 0.253
0.192 0.201 0.053
0.802 0.805 0.553
0.808 0.799 0.947
0.692 0.299 0.553
0.698 0.305 0.947
0.308 0.701 0.447
0.396 0.959 0.747
0.198 0.195 0.447
0.896 0.541 0.247
0.302 0.695 0.053
0.517 0.564 0.750
0.983 0.064 0.750
0.483 0.436 0.250
0.017 0.936 0.250
0.000 0.500 0.000
0.500 0.000 0.500
0.500 0.000 0.000
0.000 0.500 0.500
```

The value obtained for the calculated formation energy is -1023 meV/atom. As for the space group: No. 14.